Entry from the Alexandria database: an optimized crystal structure of PmEuSi2 (PBE).

formation energy from raw total energies	-0.342	eV per atom
spin magnetization	6.90	μB/f.u.
space-group type	Fm-3m
V	23.88	A^3/atom
energy above the most stable polymorph in this dataset	96	meV/atom

```
PmEuSi2
1.0
0.0000 3.6281 3.6281
3.6281 0.0000 3.6281
3.6281 3.6281 0.0000
Pm Eu Si
1 1 2
direct
0.0000 0.0000 0.0000
0.5000 0.5000 0.5000
0.2500 0.2500 0.2500
0.7500 0.7500 0.7500
```



Entry from the Alexandria database: an optimized crystal structure of CdCuPt2Au (PBE).

spin magnetization	0.00	μB/f.u.
space-group type	P4/mmm
V	20.08	A^3/atom
ΔE_f	0.665	eV/atom

```
CdCuPt2Au
1.0
4.6235 0.0000 0.0000
0.0000 4.6235 0.0000
0.0000 0.0000 4.6976
Cd Cu Pt Au
1 1 2 1
direct
0.0000 0.0000 0.0000
0.0000 0.0000 0.5000
0.0000 0.5000 0.5000
0.5000 0.0000 0.5000
0.5000 0.5000 0.0000
```



Entry from the Alexandria database: an optimized crystal structure of LaPr3Sm4 (PBE).

spin magnetization	0.00	μB/f.u.
space-group type	Pmn2_1
V	35.48	A^3/atom
ΔE_f	0.034	eV/atom
energy above the most stable polymorph in this dataset	17	meV/atom

```
LaPr3Sm4
1.0
11.9139 0.0000 0.0000
0.0000 7.4205 0.0000
0.0000 0.0000 6.4214
La Pr Sm
2 6 8
direct
0.0000 0.1257 0.0000
0.5000 0.8743 0.5000
0.0000 0.8726 0.4993
0.2496 0.1273 0.6671
0.2504 0.8727 0.1671
0.5000 0.1274 0.9993
0.7504 0.1273 0.6671
0.7496 0.8727 0.1671
0.0000 0.3775 0.4990
0.0000 0.6228 0.9997
0.2495 0.6230 0.6682
0.2505 0.3770 0.1682
0.5000 0.3772 0.4997
0.5000 0.6225 0.9990
0.7495 0.3770 0.1682
0.7505 0.6230 0.6682
```



Entry from the Alexandria database: an optimized crystal structure of BeFe2H (PBE).

spin magnetization	2.98	μB/f.u.
space-group type	R-3m
V	8.02	A^3/atom
energy above the most stable polymorph in this dataset	20	meV/atom

```
BeFe2H
1.0
1.2523 0.7230 5.9020
-1.2523 0.7230 5.9020
0.0000 -1.4461 5.9020
Be Fe H
1 2 1
direct
0.0000 0.0000 0.0000
0.2289 0.2289 0.2289
0.7711 0.7711 0.7711
0.5000 0.5000 0.5000
```



Entry from the Alexandria database: an optimized crystal structure of MnNb2Re (PBE).

spin magnetization	0.00	μB/f.u.
space-group type	P4/mmm
V	15.65	A^3/atom
ΔE_f	-0.172	eV/atom

```
MnNb2Re
1.0
4.4536 0.0000 0.0000
0.0000 4.4536 0.0000
0.0000 0.0000 3.1553
Mn Nb Re
1 2 1
direct
0.0000 0.0000 0.0000
0.0000 0.5000 0.5000
0.5000 0.0000 0.5000
0.5000 0.5000 0.0000
```



Entry from the Alexandria database: an optimized crystal structure of AgAsPb2S4 (PBE).

formation energy from raw total energies	-0.207	eV per atom
spin magnetization	0.00	μB/f.u.
space-group type	Imma
V	22.74	A^3/atom

```
AgAsPb2S4
1.0
-3.9570 4.0734 5.6432
3.9570 -4.0734 5.6432
3.9570 4.0734 -5.6432
Ag As Pb S
2 2 4 8
direct
0.0000 0.0000 0.0000
0.5000 0.0000 0.5000
0.5000 0.0000 0.0000
0.5000 0.5000 0.5000
0.0000 0.0000 0.5000
0.0000 0.5000 0.0000
0.0000 0.5000 0.5000
0.5000 0.5000 0.0000
0.2655 0.2503 0.4849
0.2655 0.7806 0.0151
0.2692 0.2408 0.0283
0.2875 0.7592 0.5283
0.7125 0.2408 0.4717
0.7308 0.7592 0.9717
0.7345 0.2194 0.9849
0.7345 0.7497 0.5151
```



Entry from the Alexandria database: an optimized crystal structure of ThScSn (PBE).

spin magnetization	0.00	μB/f.u.
space-group type	I4mm
V	27.09	A^3/atom
ΔE_f	-0.292	eV/atom

```
ThScSn
1.0
-1.9661 1.9661 5.2554
1.9661 -1.9661 5.2554
1.9661 1.9661 -5.2554
Th Sc Sn
1 1 1
direct
0.0000 0.0000 0.0000
0.6931 0.6931 0.0000
0.3192 0.3192 0.0000
```



Entry from the Alexandria database: an optimized crystal structure of NaPuBr4 (PBE).

formation energy from raw total energies	-1.522	eV per atom
spin magnetization	5.00	μB/f.u.
space-group type	C2/c
V	38.15	A^3/atom
energy above the most stable polymorph in this dataset	5	meV/atom

```
NaPuBr4
1.0
4.1931 -8.5469 0.0000
4.1931 8.5469 0.0000
-3.6595 0.0000 6.3872
Na Pu Br
2 2 8
direct
0.1995 0.8005 0.7500
0.8005 0.1995 0.2500
0.0694 0.9306 0.2500
0.9306 0.0694 0.7500
0.0394 0.4061 0.7123
0.1557 0.2708 0.2016
0.2708 0.1557 0.7016
0.4061 0.0394 0.2123
0.5939 0.9606 0.7877
0.7292 0.8443 0.2984
0.8443 0.7292 0.7984
0.9606 0.5939 0.2877
```